--- 1 ---
A relaxed DyTmN crystal. Source: the Alexandria database, functional PBE.

## Properties
* space-group type: No. 216
* crystal system: cubic
* ρ: 10.88 g/cm³

a b c (Å): 5.9531 5.9531 5.9531
angles (deg): 90.00 90.00 90.00
Fractional positions:
1 Dy 0.0000 0.0000 0.0000
2 Dy 0.0000 0.5000 0.5000
3 Dy 0.5000 0.0000 0.5000
4 Dy 0.5000 0.5000 0.0000
5 Tm 0.0000 0.0000 0.5000
6 Tm 0.0000 0.5000 0.0000
7 Tm 0.5000 0.0000 0.0000
8 Tm 0.5000 0.5000 0.5000
9 N 0.2500 0.2500 0.2500
10 N 0.2500 0.7500 0.7500
11 N 0.7500 0.2500 0.7500
12 N 0.7500 0.7500 0.2500

--- 2 ---
A relaxed DyTmN crystal. Source: the Alexandria database, functional PBE.

## Properties
* space-group type: No. 156
* crystal system: trigonal
* ρ: 9.34 g/cm³

a b c (Å): 3.4625 3.4625 5.9132
angles (deg): 90.00 90.00 120.00
Fractional positions:
1 Dy 0.0000 0.0000 0.0000
2 Tm 0.3333 0.6667 0.4499
3 N 0.6667 0.3333 0.2346

Stability, highest: 2

--- 1 ---
A relaxed Dy4UN4 crystal. Source: the Alexandria database, functional PBE.

## Properties
* space-group type: No. 121
* crystal system: tetragonal
* ρ: 9.03 g/cm³

a b c (Å): 6.7681 6.7681 6.7681
angles (deg): 130.81 130.81 72.12
Fractional positions:
1 Dy 0.0000 0.5000 0.5000
2 Dy 0.2152 0.2152 0.0000
3 Dy 0.5000 0.0000 0.5000
4 Dy 0.7848 0.7848 0.0000
5 U 0.5000 0.5000 0.0000
6 N 0.1496 0.6005 0.0000
7 N 0.3995 0.3995 0.5490
8 N 0.6005 0.1496 0.0000
9 N 0.8504 0.8504 0.4510

--- 2 ---
A relaxed Dy4UN4 crystal. Source: the Alexandria database, functional PBE.

## Properties
* space-group type: No. 87
* crystal system: tetragonal
* ρ: 10.59 g/cm³

a b c (Å): 6.0025 6.0025 6.0025
angles (deg): 99.78 99.78 131.32
Fractional positions:
1 Dy 0.1030 0.3073 0.4103
2 Dy 0.3073 0.8970 0.2042
3 Dy 0.6927 0.1030 0.7958
4 Dy 0.8970 0.6927 0.5897
5 U 0.5000 0.5000 0.0000
6 N 0.2174 0.5914 0.8088
7 N 0.4086 0.2174 0.6260
8 N 0.5914 0.7826 0.3740
9 N 0.7826 0.4086 0.1912

Stability, highest: 2

--- 1 ---
A relaxed DyY3N crystal. Source: the Alexandria database, functional PBE.

## Properties
* space-group type: No. 221
* crystal system: cubic
* ρ: 5.96 g/cm³

a b c (Å): 4.9805 4.9805 4.9805
angles (deg): 90.00 90.00 90.00
Fractional positions:
1 Dy 0.0000 0.0000 0.0000
2 Y 0.0000 0.5000 0.5000
3 Y 0.5000 0.0000 0.5000
4 Y 0.5000 0.5000 0.0000
5 N 0.5000 0.5000 0.5000

--- 2 ---
A relaxed DyY3N crystal. Source: the Alexandria database, functional PBE.

## Properties
* space-group type: No. 31
* crystal system: orthorhombic
* ρ: 5.69 g/cm³

a b c (Å): 7.1278 6.2632 5.7967
angles (deg): 90.00 90.00 90.00
Fractional positions:
1 Dy 0.0000 0.1857 0.0000
2 Dy 0.5000 0.8143 0.5000
3 Y 0.0000 0.8169 0.4641
4 Y 0.2498 0.3531 0.4815
5 Y 0.2502 0.6469 0.9815
6 Y 0.5000 0.1831 0.9641
7 Y 0.7502 0.3531 0.4815
8 Y 0.7498 0.6469 0.9815
9 N 0.0000 0.4991 0.2303
10 N 0.5000 0.5009 0.7303

Stability, highest: 2